Na3CO4 | the Alexandria database | PBE-GGA | optimized geometry; ΔE_f (raw) = -1.293 eV per atom; symmetry = I-43m, No. 217; distance to the lowest polymorph of the same formula = 78 meV/atom; spin magnetization = 2.04 Bohr magnetons per cell
1.0
5.719 0.000 0.000
0.000 5.719 0.000
0.000 0.000 5.719
Na C O
6 2 8
Direct
0.000 0.000 0.500
0.000 0.500 0.000
0.000 0.500 0.500
0.500 0.000 0.000
0.500 0.000 0.500
0.500 0.500 0.000
0.000 0.000 0.000
0.500 0.500 0.500
0.142 0.142 0.858
0.142 0.858 0.142
0.358 0.358 0.358
0.358 0.642 0.642
0.642 0.358 0.642
0.642 0.642 0.358
0.858 0.142 0.142
0.858 0.858 0.858